{"formula": "Ga2TeBr2", "functional": "GGA-PBE", "state": "relaxed", "total_magnetization_mub_per_fu": 0.00, "volume_a3_per_cell": 293.3, "raw_formation_energy_mev_per_atom": -236, "rho_g_cm3": 4.83, "lattice": [[8.482, 0.000, 0.000], [0.000, 8.482, 0.000], [0.000, 0.000, 4.076]], "species": ["Ga", "Ga", "Ga", "Ga", "Te", "Te", "Br", "Br", "Br", "Br"], "frac_coords": [[0.221, 0.279, 0.000], [0.279, 0.779, 0.000], [0.721, 0.221, 0.000], [0.779, 0.721, 0.000], [0.000, 0.000, 0.000], [0.500, 0.500, 0.000], [0.135, 0.635, 0.500], [0.365, 0.135, 0.500], [0.635, 0.865, 0.500], [0.865, 0.365, 0.500]]}

{"formula": "DyMg2BiO6", "functional": "GGA-PBE", "state": "relaxed", "total_magnetization_mub_per_fu": 0.00, "volume_a3_per_cell": 126.5, "raw_formation_energy_mev_per_atom": -2276, "rho_g_cm3": 6.77, "lattice": [[2.735, 1.579, 4.880], [-2.735, 1.579, 4.880], [0.000, -3.159, 4.880]], "species": ["Dy", "Mg", "Mg", "Bi", "O", "O", "O", "O", "O", "O"], "frac_coords": [[0.000, 0.000, 0.000], [0.282, 0.282, 0.282], [0.784, 0.784, 0.784], [0.489, 0.489, 0.489], [0.081, 0.663, 0.418], [0.186, 0.576, 0.892], [0.418, 0.081, 0.663], [0.576, 0.892, 0.186], [0.663, 0.418, 0.081], [0.892, 0.186, 0.576]]}

{"formula": "TcSb2Pb", "functional": "GGA-PBE", "state": "relaxed", "total_magnetization_mub_per_fu": 0.00, "volume_a3_per_cell": 103.6, "raw_formation_energy_mev_per_atom": 192, "rho_g_cm3": 8.80, "lattice": [[-1.631, 2.004, 7.921], [1.631, -2.004, 7.921], [1.631, 2.004, -7.921]], "species": ["Tc", "Sb", "Sb", "Pb"], "frac_coords": [[0.000, 0.000, 0.000], [0.557, 0.557, 0.000], [0.866, 0.366, 0.500], [0.215, 0.715, 0.500]]}

{"formula": "Ge3TeSe", "functional": "GGA-PBE", "state": "relaxed", "total_magnetization_mub_per_fu": 0.00, "volume_a3_per_cell": 163.5, "raw_formation_energy_mev_per_atom": 961, "rho_g_cm3": 4.31, "lattice": [[5.469, 0.000, 0.000], [0.000, 5.469, 0.000], [0.000, 0.000, 5.469]], "species": ["Ge", "Ge", "Ge", "Te", "Se"], "frac_coords": [[0.000, 0.000, 0.500], [0.000, 0.500, 0.000], [0.500, 0.000, 0.000], [0.000, 0.000, 0.000], [0.500, 0.500, 0.500]]}